Record 1
Entry from Alexandria via LeMat-Bulk: an optimized crystal structure of AgBiF2 (PBE-GGA).

Cell lengths 6.5996, 6.5996, 6.5996 Å; angles 100.17, 100.17, 130.31 degrees
Closest atoms and distances in Å follow each position.
Atoms (fractional coordinates):
Bi 0.0000 0.0000 0.0000  4 F 2.35
F 0.1250 0.7866 0.1616  2 Bi 2.35
Ag 0.7500 0.2500 0.5000  2 Bi 2.77, 4 F 3.06
F 0.2134 0.3750 0.3384  2 Bi 2.35
F 0.6250 0.9634 0.8384  2 Bi 2.35
F 0.0366 0.8750 0.6616  2 Bi 2.35
Bi 0.2500 0.7500 0.5000  4 F 2.35
Ag 0.5000 0.5000 0.0000  2 Bi 2.77, 4 F 3.06

Output
Theoretical density = 5.9 Mg/m³
Fermi-level density of states = 0.5 states/eV per cell
Electronic total energy = -3.80 eV/atom
Uncorrected formation energy = -1.179 eV/atom

=====

Record 2
Entry from Alexandria via LeMat-Bulk: an optimized crystal structure of AgBi2F7 (PBE-GGA).

Cell lengths 4.2275, 4.2275, 8.7249 Å; angles 104.02, 104.02, 90.00 degrees
Closest atoms and distances in Å follow each position.
Atoms (fractional coordinates):
F 0.5944 0.0944 0.1888  2 Bi 2.29, 1 F 2.55
Bi 0.6487 0.6487 0.2974  5 F 2.29-2.44
Ag 0.0000 0.0000 0.0000  8 F 2.62
F 0.2500 0.7500 0.5000  2 F 2.55, 4 Bi 2.69
F 0.0944 0.5944 0.1888  2 Bi 2.29, 1 F 2.55
F 0.4056 0.9056 0.8112  2 Bi 2.29, 1 F 2.55
Bi 0.3513 0.3513 0.7026  5 F 2.29-2.44
F 0.7500 0.2500 0.5000  2 F 2.55, 4 Bi 2.69
F 0.9056 0.4056 0.8112  2 Bi 2.29, 1 F 2.55
F 0.5000 0.5000 0.0000  2 Bi 2.44, 8 F 2.62

Output
Theoretical density = 7.5 Mg/m³
Fermi-level density of states = 0.0 states/eV per cell
Electronic total energy = -4.46 eV/atom
Uncorrected formation energy = -2.089 eV/atom

=====

Record 3
Entry from Alexandria via LeMat-Bulk: an optimized crystal structure of Ag2HgBiF6 (PBE-GGA).

Cell lengths 6.6958, 5.5759, 9.7275 Å; angles 90.00, 86.96, 90.00 degrees
Closest atoms and distances in Å follow each position.
Atoms (fractional coordinates):
Ag 0.4765 0.6154 0.7037  3 F 2.24-2.42
Hg 0.0000 0.5000 0.0000  2 F 2.55
F 0.6019 0.6691 0.1140  1 Bi 2.28, 1 Ag 2.42
Bi 0.0000 0.5000 0.5000  6 F 2.28-2.30
F 0.2929 0.3600 0.5828  1 Ag 2.25, 1 Bi 2.30
Hg 0.5000 0.0000 0.5000  2 F 2.55
F 0.2071 0.8600 0.9172  1 Ag 2.25, 1 Bi 2.30
Ag 0.0235 0.1154 0.7963  3 F 2.24-2.42
F 0.3236 0.1264 0.1930  1 Ag 2.24, 1 Bi 2.28
F 0.1019 0.8309 0.6140  1 Bi 2.28, 1 Ag 2.42
F 0.8236 0.3736 0.6930  1 Ag 2.24, 1 Bi 2.28
F 0.7929 0.1400 0.0828  1 Ag 2.25, 1 Bi 2.30
F 0.3981 0.3309 0.8860  1 Bi 2.28, 1 Ag 2.42
F 0.8981 0.1691 0.3860  1 Bi 2.28, 1 Ag 2.42
Bi 0.5000 0.0000 0.0000  6 F 2.28-2.30
Ag 0.9765 0.8846 0.2037  3 F 2.24-2.42
Ag 0.5235 0.3846 0.2963  3 F 2.24-2.42
F 0.1764 0.6264 0.3070  1 Ag 2.24, 1 Bi 2.28
F 0.6764 0.8736 0.8070  1 Ag 2.24, 1 Bi 2.28
F 0.7071 0.6400 0.4172  1 Ag 2.25, 1 Bi 2.30

Output
Theoretical density = 6.8 Mg/m³
Fermi-level density of states = 7.9 states/eV per cell
Electronic total energy = -3.62 eV/atom
Uncorrected formation energy = -1.509 eV/atom

=====

Record 4
Entry from Alexandria via LeMat-Bulk: an optimized crystal structure of AgHg2BiF (PBE-GGA).

Cell lengths 5.8090, 5.4160, 5.8090 Å; angles 90.00, 90.00, 90.00 degrees
Closest atoms and distances in Å follow each position.
Atoms (fractional coordinates):
Ag 0.0000 0.5000 0.0000  2 Bi 2.71
Bi 0.0000 0.0000 0.0000  2 Ag 2.71, 4 Hg 2.90
Hg 0.5000 0.0000 0.0000  2 Bi 2.90
Hg 0.0000 0.0000 0.5000  2 Bi 2.90
F 0.5000 0.5000 0.5000  8 Hg 3.97, 4 Ag 4.11

Output
Theoretical density = 6.7 Mg/m³
Fermi-level density of states = 2.9 states/eV per cell
Electronic total energy = -1.85 eV/atom
Uncorrected formation energy = -0.012 eV/atom

=====

Record 5
Entry from Alexandria via LeMat-Bulk: an optimized crystal structure of AgBiI2F (PBE-GGA).

Cell lengths 6.2407, 4.5257, 6.2407 Å; angles 90.00, 90.00, 90.00 degrees
Closest atoms and distances in Å follow each position.
Atoms (fractional coordinates):
Ag 0.5000 0.5000 0.5000  8 I 3.85
F 0.0000 0.5000 0.0000  2 Bi 2.26
I 0.5000 0.0000 0.0000  2 Bi 3.12
Bi 0.0000 0.0000 0.0000  2 F 2.26
I 0.0000 0.0000 0.5000  2 Bi 3.12

Output
Theoretical density = 5.6 Mg/m³
Fermi-level density of states = 2.6 states/eV per cell
Electronic total energy = -2.82 eV/atom
Uncorrected formation energy = -0.484 eV/atom

=====

Record 6
Entry from Alexandria via LeMat-Bulk: an optimized crystal structure of KAg2BiF6 (PBE-GGA).

Cell lengths 6.3795, 6.4483, 9.0223 Å; angles 90.00, 88.87, 90.00 degrees
Closest atoms and distances in Å follow each position.
Atoms (fractional coordinates):
F 0.6433 0.2905 0.6034  1 Bi 2.29, 1 Ag 2.37
F 0.1238 0.3805 0.7748  1 Bi 2.30, 1 Ag 2.39
F 0.8762 0.6195 0.2252  1 Bi 2.30, 1 Ag 2.39
F 0.3176 0.6475 0.0366  1 Bi 2.27, 1 Ag 2.42
Bi 0.0000 0.5000 0.0000  6 F 2.27-2.30
Ag 0.5008 0.4634 0.2284  4 F 2.37-2.60
F 0.3762 0.8805 0.7252  1 Bi 2.30, 1 Ag 2.39
F 0.1824 0.1475 0.4634  1 Bi 2.27, 1 Ag 2.42
K 0.0000 0.5000 0.5000  6 F 2.57-2.79
F 0.3567 0.7095 0.3966  1 Bi 2.29, 1 Ag 2.37
K 0.5000 0.0000 0.0000  6 F 2.57-2.79
F 0.8567 0.7905 0.8966  1 Bi 2.29, 1 Ag 2.37
Bi 0.5000 0.0000 0.5000  6 F 2.27-2.30
F 0.6238 0.1195 0.2748  1 Bi 2.30, 1 Ag 2.39
Ag 0.9992 0.9634 0.2716  4 F 2.37-2.60
Ag 0.4992 0.5366 0.7716  4 F 2.37-2.60
F 0.6824 0.3525 0.9634  1 Bi 2.27, 1 Ag 2.42
F 0.1433 0.2095 0.1034  1 Bi 2.29, 1 Ag 2.37
F 0.8176 0.8525 0.5366  1 Bi 2.27, 1 Ag 2.42
Ag 0.0008 0.0366 0.7284  4 F 2.37-2.60

Output
Theoretical density = 5.2 Mg/m³
Fermi-level density of states = 0.0 states/eV per cell
Electronic total energy = -4.13 eV/atom
Uncorrected formation energy = -1.940 eV/atom

=====

Record 7
Entry from Alexandria via LeMat-Bulk: an optimized crystal structure of K2AgBiF8 (PBE-GGA).

Cell lengths 4.0738, 6.2025, 8.3604 Å; angles 83.88, 90.65, 93.04 degrees
Closest atoms and distances in Å follow each position.
Atoms (fractional coordinates):
K 0.5040 0.4817 0.2530  5 F 2.54-2.82
F 0.0227 0.7235 0.1942  1 Bi 2.24
Bi 0.0000 0.0000 0.0000  6 F 2.24-2.48
F 0.5034 0.8046 0.9591  2 Bi 2.34-2.48, 1 F 2.59
F 0.6228 0.7907 0.4737  1 Ag 1.98
F 0.9773 0.2765 0.8058  1 Bi 2.24
Ag 0.0000 0.0000 0.5000  4 F 1.98-2.02
F 0.4966 0.1954 0.0409  2 Bi 2.34-2.48, 1 F 2.59
F 0.0345 0.8532 0.7261  1 Ag 2.02
F 0.3772 0.2093 0.5263  1 Ag 1.98
F 0.9655 0.1468 0.2739  1 Ag 2.02
K 0.4960 0.5183 0.7470  5 F 2.54-2.82

Output
Theoretical density = 4.3 Mg/m³
Fermi-level density of states = 3.0 states/eV per cell
Electronic total energy = -4.12 eV/atom
Uncorrected formation energy = -2.129 eV/atom

=====

Record 8
Entry from Alexandria via LeMat-Bulk: an optimized crystal structure of KAg2BiF8 (PBE-GGA).

Cell lengths 4.2418, 5.7665, 8.2772 Å; angles 82.55, 88.53, 82.22 degrees
Closest atoms and distances in Å follow each position.
Atoms (fractional coordinates):
F 0.9163 0.2605 0.1907  1 Ag 2.18, 1 Bi 2.31
Ag 0.4830 0.4864 0.7464  4 F 2.06-2.19
F 0.4430 0.2264 0.9618  1 Ag 2.19, 1 Bi 2.42
F 0.0646 0.7480 0.2461  1 Ag 2.19, 1 Bi 2.34
K 0.0000 0.0000 0.5000  8 F 2.64-2.80
F 0.4443 0.2819 0.4583  1 Ag 2.06
F 0.9354 0.2520 0.7539  1 Ag 2.19, 1 Bi 2.34
Ag 0.5170 0.5136 0.2536  4 F 2.06-2.19
F 0.5570 0.7736 0.0382  1 Ag 2.19, 1 Bi 2.42
Bi 0.0000 0.0000 0.0000  8 F 2.31-2.55
F 0.0837 0.7395 0.8093  1 Ag 2.18, 1 Bi 2.31
F 0.5557 0.7181 0.5417  1 Ag 2.06

Output
Theoretical density = 5.1 Mg/m³
Fermi-level density of states = 0.3 states/eV per cell
Electronic total energy = -3.98 eV/atom
Uncorrected formation energy = -1.843 eV/atom

=====

- What is the theoretical density in the fourth record?
  6.7 Mg/m³

=====

- Which value of theoretical density does entry 6 give?
  5.2 Mg/m³

=====

- Which of these has the highest electronic total energy?
  AgHg2BiF

=====

- electronic total energy of number 1 (AgBiF2)?
  -3.80 eV/atom